# Ac2AgSbS6

A relaxed structure of Ac2AgSbS6 (PBE, Alexandria via LeMat-Bulk).

Unit cell a=6.7930 b=7.5608 c=11.6258 alpha=90.00 beta=124.05 gamma=90.00
Space group P2_1/c (No. 14)
Symmetry-distinct sites (fractional):
Ac 0.2132 0.0992 0.2507 [4 per cell]
Ag 0.0000 0.0000 0.5000 [2 per cell]
Sb 0.5000 0.0000 0.0000 [2 per cell]
S 0.1393 0.1745 0.9502 [4 per cell]
S 0.2746 0.7016 0.9478 [4 per cell]
S 0.3669 0.0302 0.7499 [4 per cell]

Calculated values
Calculated density in g cm⁻³: 5.880
DFT total energy in Ry/atom: -0.3777
E_form (uncorrected) in eV/f.u.: -11.4
Total moment in μB/atom: 0.000
Volume in Å³/atom: 24.74